Material: Fe3PtF
Method: DFT, GGA+U
State: optimized geometry

It has space group Pm-3m (No. 221), with a = 4.953 Å, b = 4.953 Å, c = 4.953 Å, α = 90.00°, β = 90.00° and γ = 90.00°. Symmetry generates all atoms from Fe at (0.000, 0.000, 0.500), Pt at (0.000, 0.000, 0.000) and F at (0.500, 0.500, 0.500).

Its electronic total energy is -4.4950 eV/atom. Its crystal system is cubic. Its spin magnetization is 11.93 μB per formula unit. As for the volume: 24.3 Å³/atom. Its density of states at the Fermi level is 0.32 states/eV/atom.